Below is a relaxed structure of TcPHOs, with properties calculated at the GGA-PBE level.

Cell and atoms, written as POSCAR:
```
TcPHOs
1.0
2.9809 0.0000 0.0000
0.0000 2.8979 0.0000
0.0000 0.0000 5.4968
Os Tc P H
1 1 1 1
Cartesian
1.4905 0.0000 1.1378 Os
0.0000 1.4490 4.8805 Tc
1.4905 1.4490 3.0737 P
0.0000 0.0000 2.0122 H
```

As for the total energy: -30.35 eV/cell. The density of states at the Fermi level is 1.621 states/eV per cell. The symmetry is Pmm2.



Below is a relaxed structure of Tm2FeS, with properties calculated at the GGA-PBE level.

Cell and atoms, written as POSCAR:
```
Tm2FeS
1.0
-2.7027 -1.0639 1.8867
-0.7758 -3.3714 0.1667
4.1092 -2.3417 7.7452
Fe Tm S
1 2 1
Cartesian
0.0000 0.0000 0.0000 Fe
2.5125 -2.0800 5.6054 Tm
-1.8817 -4.6969 4.1932 Tm
0.3154 -3.3885 4.8993 S
```

The value obtained for the formation energy without anion corrections is -250 meV/atom. The density of states at the Fermi level is 3.019 states/eV per cell. The symmetry is R-3m.



Below is a relaxed structure of AlGePt5, with properties calculated at the GGA-PBE level.

Cell and atoms, written as POSCAR:
```
AlGePt5
1.0
-4.1203 6.0114 -1.3730
-6.9375 -2.4086 1.0337
-5.6759 3.0239 3.9354
Pt Ge Al
10 2 2
Cartesian
-6.0472 5.2493 0.0448 Pt
-5.3890 1.2661 2.0475 Pt
-10.6865 1.3774 3.5513 Pt
-12.3651 3.6488 3.6250 Pt
-7.5978 4.6583 3.4778 Pt
-4.3686 2.9779 -0.0289 Pt
-9.1358 1.9684 0.1183 Pt
-8.6725 4.6912 0.9272 Pt
-11.3447 5.3606 1.5486 Pt
-8.0612 1.9355 2.6689 Pt
0.0000 0.0000 0.0000 Ge
-2.8379 1.5120 1.9677 Ge
-6.8072 2.9779 0.6940 Al
-9.9265 3.6488 2.9021 Al
```

The energy relative to the elements is -0.411 eV/atom. The density of states at the Fermi level is 5.039 states/eV per cell. The symmetry is C2/c.